# Cr2CdNiF

A relaxed structure of Cr2CdNiF (PBE+U, the Alexandria database).

The value obtained for the calculated total energy is -15.19 eV/cell. As for the calculated volume: 26.178 A^3/atom.

The structure belongs to space group P4/mmm (No. 123); the cell edges are 5.305, 5.305 and 4.651 Å and the angles 90.00°, 90.00° and 90.00°. The asymmetric unit holds Cr at (0.000, 0.500, 0.000), Cd at (0.000, 0.000, 0.000), Ni at (0.000, 0.000, 0.500) and F at (0.500, 0.500, 0.500).